Computed, not measured: a geometry-optimized KTiCoF6 structure at the PBE+U level of DFT.

Cell: 5.5065 5.5065 11.1870 Å, 90.00 90.00 120.00°
Space group P-31c (No. 163)
Inequivalent atoms, fractional coordinates:
K: 0.0000 0.0000 0.0000
Ti: 0.3333 0.6667 0.2500
Co: 0.3333 0.6667 0.7500
F: 0.0128 0.3801 0.1547

Values from the calculation:
**Total DFT energy (no corrections)**: -5.64 eV/atom
**Total magnetic moment**: 7.57 μB/cell